# PBE Ba12Sr6Ca, optimized geometry
data_Ba12Sr6Ca
_cell_length_a 14.8450
_cell_length_b 14.8450
_cell_length_c 18.4230
_cell_angle_alpha 90.00
_cell_angle_beta 90.00
_cell_angle_gamma 120.00
_space_group_name_H-M_alt 'R -3'
_space_group_IT_number 148
_space_group_name_Hall '-R 3'
loop_
_atom_site_label
_atom_site_fract_x
_atom_site_fract_y
_atom_site_fract_z
Ba1 0.0368 0.8523 0.3133
Ba2 0.0623 0.2097 0.9099
Sr1 0.0367 0.5953 0.2040
Ca1 0.0000 0.0000 0.5000
# ρ (g/cm³): 3.14
# DFT total energy (eV/atom): -1.80
# Energy of formation from the pure elements (eV/f.u.): 0.98
# Energy relative to the lowest polymorph listed for this composition (eV/atom): 0.0000
# DOS at the Fermi energy (states/eV/f.u.): 28.24
# Total magnetization (Bohr magnetons per cell): 0.02

=====

# PBE Hf2GeIr, optimized geometry
data_Hf2GeIr
_cell_length_a 4.4070
_cell_length_b 4.4070
_cell_length_c 14.6762
_cell_angle_alpha 90.00
_cell_angle_beta 90.00
_cell_angle_gamma 120.00
_space_group_name_H-M_alt 'R 3 m'
_space_group_IT_number 160
_space_group_name_Hall 'R 3 -2"'
loop_
_atom_site_label
_atom_site_fract_x
_atom_site_fract_y
_atom_site_fract_z
Hf1 0.0000 0.0000 0.0000
Hf2 0.0000 0.0000 0.2053
Ge1 0.0000 0.0000 0.4154
Ir1 0.0000 0.0000 0.8221
# ρ (g/cm³): 12.55
# DFT total energy (eV/atom): -8.81
# Energy of formation from the pure elements (eV/f.u.): -1.85
# DOS at the Fermi energy (states/eV/f.u.): 2.60
# Total magnetization (Bohr magnetons per cell): 0.00

=====

# PBE PaHBr3, optimized geometry
data_PaHBr3
_cell_length_a 4.154
_cell_length_b 19.524
_cell_length_c 9.054
_cell_angle_alpha 90.00
_cell_angle_beta 90.00
_cell_angle_gamma 90.00
_space_group_name_H-M_alt 'C m c m'
_space_group_IT_number 63
_space_group_name_Hall '-C 2c 2'
loop_
_atom_site_label
_atom_site_fract_x
_atom_site_fract_y
_atom_site_fract_z
Pa1 0.000 0.129 0.250
H1 0.000 0.234 0.250
Br1 0.000 0.010 0.750
Br2 0.000 0.353 0.534
# ρ (g/cm³): 4.27
# DFT total energy (eV/atom): -4.49
# DOS at the Fermi energy (states/eV/f.u.): 3.65
# Total magnetization (Bohr magnetons per cell): 4.00

=====

# PBE K5Tl2Pd, optimized geometry
data_K5Tl2Pd
_cell_length_a 4.535
_cell_length_b 13.209
_cell_length_c 23.154
_cell_angle_alpha 90.00
_cell_angle_beta 90.00
_cell_angle_gamma 90.00
_space_group_name_H-M_alt 'C m c m'
_space_group_IT_number 63
_space_group_name_Hall '-C 2c 2'
loop_
_atom_site_label
_atom_site_fract_x
_atom_site_fract_y
_atom_site_fract_z
K1 0.000 0.002 0.250
K2 0.000 0.138 0.056
K3 0.000 0.401 0.124
Tl1 0.000 0.292 0.680
Pd1 0.000 0.259 0.250
# ρ (g/cm³): 3.40
# DFT total energy (eV/atom): -2.00
# Energy of formation from the pure elements (eV/f.u.): -0.60
# DOS at the Fermi energy (states/eV/f.u.): 5.05
# Total magnetization (Bohr magnetons per cell): 0.00

=====

# PBE MnCd2As, optimized geometry
data_MnCd2As
_cell_length_a 3.1524
_cell_length_b 3.1524
_cell_length_c 27.2995
_cell_angle_alpha 90.00
_cell_angle_beta 90.00
_cell_angle_gamma 120.00
_space_group_name_H-M_alt 'R 3 m'
_space_group_IT_number 160
_space_group_name_Hall 'R 3 -2"'
loop_
_atom_site_label
_atom_site_fract_x
_atom_site_fract_y
_atom_site_fract_z
Mn1 0.0000 0.0000 0.0000
Cd1 0.0000 0.0000 0.2534
Cd2 0.0000 0.0000 0.4877
As1 0.0000 0.0000 0.7228
# ρ (g/cm³): 7.52
# DFT total energy (eV/atom): -3.81
# Energy of formation from the pure elements (eV/f.u.): 0.42
# DOS at the Fermi energy (states/eV/f.u.): 1.53
# Total magnetization (Bohr magnetons per cell): 6.45

=====

# PBE Li2InSb, optimized geometry
data_Li2InSb
_cell_length_a 3.3795
_cell_length_b 3.3795
_cell_length_c 27.0450
_cell_angle_alpha 90.00
_cell_angle_beta 90.00
_cell_angle_gamma 120.00
_space_group_name_H-M_alt 'R -3 m'
_space_group_IT_number 166
_space_group_name_Hall '-R 3 2"'
loop_
_atom_site_label
_atom_site_fract_x
_atom_site_fract_y
_atom_site_fract_z
Li1 0.0000 0.0000 0.2454
In1 0.0000 0.0000 0.0000
Sb1 0.0000 0.0000 0.5000
# ρ (g/cm³): 4.66
# DFT total energy (eV/atom): -2.92
# DOS at the Fermi energy (states/eV/f.u.): 2.99
# Energy relative to the elements, uncorrected (kJ/mol of formula units): -94
# Total magnetization (Bohr magnetons per cell): 0.00

=====

# PBE Pr3NdY12, optimized geometry
data_Pr3NdY12
_cell_length_a 5.098
_cell_length_b 5.098
_cell_length_c 20.397
_cell_angle_alpha 90.00
_cell_angle_beta 90.00
_cell_angle_gamma 90.00
_space_group_name_H-M_alt 'P 4/m m m'
_space_group_IT_number 123
_space_group_name_Hall '-P 4 2'
loop_
_atom_site_label
_atom_site_fract_x
_atom_site_fract_y
_atom_site_fract_z
Pr1 0.000 0.000 0.000
Pr2 0.000 0.000 0.250
Nd1 0.000 0.000 0.500
Y1 0.000 0.500 0.125
Y2 0.000 0.500 0.375
Y3 0.500 0.500 0.000
Y4 0.500 0.500 0.250
Y5 0.500 0.500 0.500
# ρ (g/cm³): 5.12
# DFT total energy (eV/atom): -6.02
# Energy of formation from the pure elements (eV/f.u.): 0.35
# DOS at the Fermi energy (states/eV/f.u.): 25.05
# Total magnetization (Bohr magnetons per cell): 0.00

=====

# PBE Tb5Pm2YEr, optimized geometry
data_Tb5Pm2YEr
_cell_length_a 8.616
_cell_length_b 8.616
_cell_length_c 15.841
_cell_angle_alpha 90.00
_cell_angle_beta 90.00
_cell_angle_gamma 90.00
_space_group_name_H-M_alt 'I 4/m c m'
_space_group_IT_number 140
_space_group_name_Hall '-I 4 2c'
loop_
_atom_site_label
_atom_site_fract_x
_atom_site_fract_y
_atom_site_fract_z
Tb1 0.000 0.000 0.000
Tb2 0.213 0.287 0.140
Pm1 0.118 0.382 0.500
Y1 0.000 0.000 0.250
Er1 0.000 0.500 0.250
# ρ (g/cm³): 7.57
# DFT total energy (eV/atom): -4.58
# Energy of formation from the pure elements (eV/f.u.): 2.48
# DOS at the Fermi energy (states/eV/f.u.): 12.64
# Total magnetization (Bohr magnetons per cell): 0.00

=====

# PBE Cu3NiPt, optimized geometry
data_Cu3NiPt
_cell_length_a 5.236
_cell_length_b 3.654
_cell_length_c 13.088
_cell_angle_alpha 90.00
_cell_angle_beta 90.00
_cell_angle_gamma 90.00
_space_group_name_H-M_alt 'P n m a'
_space_group_IT_number 62
_space_group_name_Hall '-P 2ac 2n'
loop_
_atom_site_label
_atom_site_fract_x
_atom_site_fract_y
_atom_site_fract_z
Cu1 0.122 0.250 0.249
Cu2 0.127 0.250 0.853
Cu3 0.132 0.250 0.451
Ni1 0.118 0.250 0.047
Pt1 0.130 0.250 0.648
# ρ (g/cm³): 11.79
# DFT total energy (eV/atom): -4.90
# Energy of formation from the pure elements (eV/f.u.): -0.37
# Energy relative to the lowest polymorph listed for this composition (eV/atom): 0.0000
# DOS at the Fermi energy (states/eV/f.u.): 5.54
# Total magnetization (Bohr magnetons per cell): 0.65

=====

# PBE CaS2N2, optimized geometry
data_CaS2N2
_cell_length_a 4.150
_cell_length_b 4.150
_cell_length_c 8.664
_cell_angle_alpha 90.00
_cell_angle_beta 90.00
_cell_angle_gamma 90.00
_space_group_name_H-M_alt 'I 4/m m m'
_space_group_IT_number 139
_space_group_name_Hall '-I 4 2'
loop_
_atom_site_label
_atom_site_fract_x
_atom_site_fract_y
_atom_site_fract_z
Ca1 0.000 0.000 0.000
S1 0.000 0.000 0.303
N1 0.000 0.500 0.250
# ρ (g/cm³): 2.94
# DFT total energy (eV/atom): -4.74
# Energy relative to the lowest polymorph listed for this composition (eV/atom): 0.2654
# DOS at the Fermi energy (states/eV/f.u.): 1.29
# Energy relative to the elements, uncorrected (kJ/mol of formula units): 308
# Total magnetization (Bohr magnetons per cell): 0.00

=====

# PBE RbYSi, optimized geometry
data_RbYSi
_cell_length_a 4.8649
_cell_length_b 4.8649
_cell_length_c 5.9957
_cell_angle_alpha 90.00
_cell_angle_beta 90.00
_cell_angle_gamma 120.00
_space_group_name_H-M_alt 'P -6 m 2'
_space_group_IT_number 187
_space_group_name_Hall 'P -6 2'
loop_
_atom_site_label
_atom_site_fract_x
_atom_site_fract_y
_atom_site_fract_z
Rb1 0.0000 0.0000 0.0000
Y1 0.3333 0.6667 0.5000
Si1 0.6667 0.3333 0.5000
# ρ (g/cm³): 2.74
# DFT total energy (eV/atom): -4.12
# Energy relative to the lowest polymorph listed for this composition (eV/atom): 0.4535
# DOS at the Fermi energy (states/eV/f.u.): 1.86
# Energy relative to the elements, uncorrected (kJ/mol of formula units): 47
# Total magnetization (Bohr magnetons per cell): 0.00

=====

# PBE Ir2PtRh2, optimized geometry
data_Ir2PtRh2
_cell_length_a 3.591
_cell_length_b 3.591
_cell_length_c 12.447
_cell_angle_alpha 90.00
_cell_angle_beta 90.00
_cell_angle_gamma 90.00
_space_group_name_H-M_alt 'I 4/m m m'
_space_group_IT_number 139
_space_group_name_Hall '-I 4 2'
loop_
_atom_site_label
_atom_site_fract_x
_atom_site_fract_y
_atom_site_fract_z
Ir1 0.000 0.000 0.099
Pt1 0.000 0.000 0.500
Rh1 0.000 0.500 0.250
# ρ (g/cm³): 16.25
# DFT total energy (eV/atom): -7.30
# Energy of formation from the pure elements (eV/f.u.): 1.98
# Energy relative to the lowest polymorph listed for this composition (eV/atom): 0.3888
# DOS at the Fermi energy (states/eV/f.u.): 4.36
# Total magnetization (Bohr magnetons per cell): 0.00